Compound: LiMg2TlH
Source: Alexandria
Functional: GGA-PBE
Structure: relaxed

```
data_LiMg2TlH
_chemical_formula_sum 'Li1 Mg2 Tl1 H1'
_cell_length_a 4.550
_cell_length_b 4.550
_cell_length_c 4.113
_cell_angle_alpha 90.00
_cell_angle_beta 90.00
_cell_angle_gamma 90.00
_symmetry_space_group_name_H-M 'P 4/m m m'
_symmetry_Int_Tables_number 123
_symmetry_space_group_name_Hall '-P 4 2'
loop_
_atom_site_label
_atom_site_type_symbol
_atom_site_fract_x
_atom_site_fract_y
_atom_site_fract_z
Li1 Li 0.000 0.000 0.000
Mg1 Mg 0.000 0.500 0.500
Tl1 Tl 0.500 0.500 0.000
H1 H 0.000 0.000 0.500
```

Summary:
total magnetic moment = 0.0 μB/cell
VASP energy = -2.27 eV/atom
DOS(E_F) = 0.33 states/eV/atom
crystal system = tetragonal



Compound: Li2MgTlH
Source: Alexandria
Functional: GGA-PBE
Structure: relaxed

```
data_Li2MgTlH
_chemical_formula_sum 'Li2 Mg1 Tl1 H1'
_cell_length_a 4.210
_cell_length_b 4.210
_cell_length_c 4.928
_cell_angle_alpha 90.00
_cell_angle_beta 90.00
_cell_angle_gamma 90.00
_symmetry_space_group_name_H-M 'P 4/m m m'
_symmetry_Int_Tables_number 123
_symmetry_space_group_name_Hall '-P 4 2'
loop_
_atom_site_label
_atom_site_type_symbol
_atom_site_fract_x
_atom_site_fract_y
_atom_site_fract_z
Li1 Li 0.000 0.500 0.000
Mg1 Mg 0.000 0.000 0.500
Tl1 Tl 0.500 0.500 0.500
H1 H 0.500 0.500 0.000
```

Summary:
total magnetic moment = 0.0 μB/cell
VASP energy = -2.28 eV/atom
DOS(E_F) = 0.16 states/eV/atom
crystal system = tetragonal
ΔE to the lowest computed polymorph = 135 meV per atom



Compound: Li2YMgH
Source: Alexandria
Functional: GGA-PBE
Structure: relaxed

```
data_Li2YMgH
_chemical_formula_sum 'Li2 Y1 Mg1 H1'
_cell_length_a 4.680
_cell_length_b 4.680
_cell_length_c 4.372
_cell_angle_alpha 90.00
_cell_angle_beta 90.00
_cell_angle_gamma 90.00
_symmetry_space_group_name_H-M 'P 4/m m m'
_symmetry_Int_Tables_number 123
_symmetry_space_group_name_Hall '-P 4 2'
loop_
_atom_site_label
_atom_site_type_symbol
_atom_site_fract_x
_atom_site_fract_y
_atom_site_fract_z
Li1 Li 0.000 0.500 0.000
Y1 Y 0.000 0.000 0.500
Mg1 Mg 0.500 0.500 0.500
H1 H 0.000 0.000 0.000
```

Summary:
total magnetic moment = 0.0 μB/cell
VASP energy = -3.14 eV/atom
DOS(E_F) = 0.59 states/eV/atom
crystal system = tetragonal